The following is a GGA-PBE calculation of a geometry-optimized Tl8Hg structure, from Alexandria.

Results
The calculation puts the energy of formation from the pure elements at 0.01 eV/atom.

```
data_Tl8Hg
_cell_length_a 11.8468
_cell_length_b 11.8468
_cell_length_c 3.8963
_cell_angle_alpha 90.00
_cell_angle_beta 90.00
_cell_angle_gamma 90.00
_symmetry_space_group_name_H-M 'I 4/m m m'
_symmetry_Int_Tables_number 139
_symmetry_space_group_name_Hall '-I 4 2'
loop_
_atom_site_label
_atom_site_type_symbol
_atom_site_fract_x
_atom_site_fract_y
_atom_site_fract_z
Tl1 Tl 0.0000 0.3334 0.0000
Tl2 Tl 0.1627 0.1627 0.5000
Hg1 Hg 0.0000 0.0000 0.0000
```



The following is a GGA-PBE calculation of a geometry-optimized NiSbW structure, from Alexandria.

Results
The value obtained for the energy relative to the elements, uncorrected is 463.2 meV per atom. The calculation puts the relative energy among the computed polymorphs at 0.0095 eV/atom.

```
data_NiSbW
_cell_length_a 3.1948
_cell_length_b 3.1948
_cell_length_c 9.5048
_cell_angle_alpha 90.00
_cell_angle_beta 90.00
_cell_angle_gamma 90.00
_symmetry_space_group_name_H-M 'I 4 m m'
_symmetry_Int_Tables_number 107
_symmetry_space_group_name_Hall 'I 4 -2'
loop_
_atom_site_label
_atom_site_type_symbol
_atom_site_fract_x
_atom_site_fract_y
_atom_site_fract_z
Ni1 Ni 0.0000 0.0000 0.0000
Sb1 Sb 0.0000 0.0000 0.3393
W1 W 0.0000 0.0000 0.6476
```



Calculated density list, top to bottom, in g/cm3: 11.1, 12.5